# 1
A relaxed InTe2 crystal, computed with PBE.

Results
- uncorrected energy (eV per atom) = -2.978
- energy relative to the elements, uncorrected (eV per atom) = 0.030
- polymorph energy (0 for the lowest one) (meV/atom) = 227

Cell and atoms, written as extended XYZ:
```
3
Lattice="-1.588 1.588 9.771 1.588 -1.588 9.771 1.588 1.588 -9.771" Properties=species:S:1:pos:R:3 pbc="T T T"
In 0.000 0.000 0.000
Te 0.000 0.000 6.935
Te 0.000 0.000 12.608
```

# 2
A relaxed InTe2 crystal, computed with PBE.

Results
- uncorrected energy (eV per atom) = -3.120
- energy relative to the elements, uncorrected (eV per atom) = -0.113
- polymorph energy (0 for the lowest one) (meV/atom) = 85

Cell and atoms, written as extended XYZ:
```
6
Lattice="6.141 0.000 0.000 0.000 7.584 0.000 0.000 0.000 4.662" Properties=species:S:1:pos:R:3 pbc="T T T"
In 0.000 0.000 0.000
In 3.071 3.792 2.331
Te 1.097 2.930 0.000
Te 1.973 6.722 2.331
Te 4.168 0.862 2.331
Te 5.044 4.654 0.000
```

# 3
A relaxed InTe4 crystal, computed with PBE.

Results
- uncorrected energy (eV per atom) = -2.978
- energy relative to the elements, uncorrected (eV per atom) = 0.083
- polymorph energy (0 for the lowest one) (meV/atom) = 0

Cell and atoms, written as extended XYZ:
```
5
Lattice="-2.130 2.130 9.586 2.130 -2.130 9.586 2.130 2.130 -9.586" Properties=species:S:1:pos:R:3 pbc="T T T"
In 0.000 0.000 0.000
Te 2.130 0.000 4.793
Te 0.000 0.000 8.171
Te 0.000 0.000 11.001
Te 0.000 2.130 4.793
```

# 4
A relaxed InTe2 crystal, computed with PBE.

Results
- uncorrected energy (eV per atom) = -2.918
- energy relative to the elements, uncorrected (eV per atom) = 0.089
- polymorph energy (0 for the lowest one) (meV/atom) = 287

Cell and atoms, written as extended XYZ:
```
3
Lattice="5.624 0.000 0.000 -2.812 4.871 0.000 0.000 0.000 3.146" Properties=species:S:1:pos:R:3 pbc="T T T"
In 0.000 0.000 0.000
Te 0.000 3.247 2.347
Te 2.812 1.624 0.800
```